The following is a PBE calculation of crystalline Na2Sr2N at its relaxed geometry, from the Alexandria database.

The structure belongs to space group I4_1/amd (No. 141, origin choice 2); the cell edges are 3.9758, 3.9758 and 48.5920 Å and the angles 90.00°, 90.00° and 90.00°. Symmetry generates all atoms from Na at (0.0000, 0.2500, 0.0310), Sr at (0.0000, 0.2500, 0.1535) and N at (0.0000, 0.2500, 0.3750).

The value obtained for the density of states at the Fermi level is 8.13 states/eV/cell. For the total energy, the calculation gives -3.021 eV/atom. As for the crystal system: tetragonal.